# KRb2SnF8

Crystalline KRb2SnF8 at its relaxed geometry (GGA-PBE, Alexandria).

Properties
formation energy without anion corrections = -30.1 eV per formula unit
VASP energy = -4.338 eV/atom
symmetry = P-1

abc: 5.2930 5.7763 8.0557
angles: 89.94 90.01 93.77
Element x y z (fractional)
Rb: 0.4997 0.4996 0.7642
F: 0.6625 0.8223 0.9995
F: 0.4905 0.1722 0.5000
K: 0.0000 0.0000 0.5000
Sn: 0.0000 0.0000 0.0000
Rb: 0.5003 0.5004 0.2358
F: 0.0961 0.7856 0.1841
F: 0.9029 0.2138 0.1838
F: 0.9039 0.2144 0.8159
F: 0.0971 0.7862 0.8162
F: 0.5095 0.8278 0.5000
F: 0.3375 0.1777 0.0005

---

# KRb2SnF

Crystalline KRb2SnF at its relaxed geometry (GGA-PBE, Alexandria).

Properties
formation energy without anion corrections = -5.2 eV per formula unit
VASP energy = -2.816 eV/atom
symmetry = P4/mmm

abc: 5.7404 5.7404 5.5287
angles: 90.00 90.00 90.00
Element x y z (fractional)
Sn: 0.5000 0.5000 0.5000
F: 0.0000 0.0000 0.0000
Rb: 0.0000 0.5000 0.0000
Rb: 0.5000 0.0000 0.0000
K: 0.0000 0.0000 0.5000

---

# KRbSrF4

Crystalline KRbSrF4 at its relaxed geometry (GGA-PBE, Alexandria).

Properties
formation energy without anion corrections = -22.1 eV per formula unit
VASP energy = -4.766 eV/atom
symmetry = I4mm

abc: 4.7437 4.7437 7.7845
angles: 107.74 107.74 90.00
Element x y z (fractional)
Rb: 0.6474 0.6474 0.2947
F: 0.9971 0.4971 0.9943
F: 0.8325 0.8325 0.6649
F: 0.1719 0.1719 0.3439
F: 0.4971 0.9971 0.9943
K: 0.3527 0.3527 0.7054
Sr: 0.0012 0.0012 0.0025

---

# K2Rb3SrF6

Crystalline K2Rb3SrF6 at its relaxed geometry (GGA-PBE, Alexandria).

Properties
formation energy without anion corrections = -32.2 eV per formula unit
VASP energy = -4.185 eV/atom
symmetry = C2/m

abc: 6.9844 6.9844 7.1001
angles: 98.90 98.90 120.50
Element x y z (fractional)
K: 0.6675 0.3325 0.0000
F: 0.6388 0.9320 0.7971
Sr: 0.0000 0.0000 0.0000
F: 0.2276 0.2276 0.7902
F: 0.9320 0.6388 0.7971
Rb: 0.5000 0.5000 0.5000
Rb: 0.8364 0.1636 0.5000
K: 0.3325 0.6675 0.0000
Rb: 0.1636 0.8364 0.5000
F: 0.3612 0.0680 0.2029
F: 0.7724 0.7724 0.2098
F: 0.0680 0.3612 0.2029